(1)
BaBeSe2, optimized geometry, DFT GGA-PBE; magnetization = 0.00 μB per formula unit; formation energy (no corrections) = -0.98 eV per atom; ρ = 4.66 g cm⁻³; uncorrected energy = -4.131 eV/atom; space-group type = No. 10
1.0
3.571 0.000 0.000
0.000 4.305 -0.128
0.000 0.367 7.042
Se Be Ba
2 1 1
Direct
0.000 0.760 0.975
0.000 0.740 0.525
0.500 0.750 0.750
0.500 0.250 0.250

(2)
SrCa2, optimized geometry, DFT GGA-PBE; magnetization = 0.00 μB per formula unit; ρ = 2.02 g cm⁻³; ΔE_f = 16.6 meV/atom; uncorrected energy = -1.878 eV/atom; space-group type = No. 63
1.0
5.674 0.000 0.000
0.000 16.997 0.000
0.000 0.000 5.729
Sr Ca
4 8
Direct
0.500 0.914 0.250
0.500 0.086 0.750
0.000 0.414 0.250
0.000 0.586 0.750
0.000 0.251 0.750
0.500 0.249 0.250
0.500 0.413 0.750
0.000 0.749 0.250
0.500 0.587 0.250
0.000 0.913 0.750
0.500 0.751 0.750
0.000 0.087 0.250

(3)
NiPt2S4, optimized geometry, DFT GGA-PBE; magnetization = 0.00 μB per formula unit; formation energy (no corrections) = -0.36 eV per atom; ρ = 7.94 g cm⁻³; uncorrected energy = -5.266 eV/atom; space-group type = No. 227
1.0
-1.578 0.640 -6.779
4.669 -4.773 2.066
-10.961 -4.689 2.108
S Pt Ni
16 8 4
Direct
0.128 0.755 0.883
0.633 0.245 0.878
0.367 0.234 0.122
0.612 0.245 0.378
0.133 0.245 0.378
0.628 0.755 0.383
0.867 0.234 0.622
0.633 0.766 0.878
0.367 0.755 0.122
0.112 0.245 0.878
0.888 0.755 0.122
0.867 0.755 0.622
0.372 0.245 0.617
0.388 0.755 0.622
0.872 0.245 0.117
0.133 0.766 0.378
0.250 0.000 0.250
0.000 0.500 0.000
0.500 0.000 0.000
0.000 0.000 0.500
0.750 0.000 0.750
0.000 0.000 0.000
0.500 0.000 0.500
0.500 0.500 0.500
0.563 0.625 0.187
0.437 0.375 0.813
0.938 0.375 0.312
0.062 0.625 0.688

(4)
YHf2Au2, optimized geometry, DFT GGA-PBE; magnetization = 0.00 μB per formula unit; ρ = 12.75 g cm⁻³; ΔE_f = -408.2 meV/atom; uncorrected energy = -6.993 eV/atom; space-group type = No. 127
1.0
7.939 0.000 0.000
0.000 7.939 0.000
0.000 0.000 3.470
Hf Au Y
4 4 2
Direct
0.668 0.832 0.500
0.832 0.332 0.500
0.168 0.668 0.500
0.332 0.168 0.500
0.372 0.872 0.000
0.128 0.372 0.000
0.628 0.128 0.000
0.872 0.628 0.000
0.500 0.500 0.000
0.000 0.000 0.000

(5)
Pr2Sm5DySc, optimized geometry, DFT GGA-PBE; magnetization = 0.00 μB per formula unit; ρ = 6.79 g cm⁻³; ΔE_f = 120.7 meV/atom; uncorrected energy = -4.778 eV/atom; space-group type = No. 36
1.0
-4.238 -3.316 0.634
1.746 0.049 -11.222
6.317 -7.893 0.948
Dy Pr Sm Sc
2 4 10 2
Direct
0.602 0.205 0.008
0.398 0.795 0.508
0.884 0.767 0.763
0.117 0.233 0.753
0.883 0.767 0.253
0.116 0.233 0.263
0.627 0.255 0.508
0.723 0.445 0.821
0.500 0.000 0.258
0.277 0.555 0.321
0.001 0.001 0.508
0.373 0.745 0.008
0.500 0.000 0.758
0.999 0.999 0.008
0.278 0.556 0.696
0.722 0.444 0.196
0.213 0.427 0.009
0.787 0.573 0.509

(6)
YReAs2Pd, optimized geometry, DFT GGA-PBE; magnetization = 3.74 μB per formula unit; ρ = 6.35 g cm⁻³; ΔE_f = 1498.3 meV/atom; uncorrected energy = -5.182 eV/atom; space-group type = No. 123
1.0
5.272 0.000 0.000
0.000 5.272 0.000
0.000 0.000 5.002
As Y Re Pd
2 1 1 1
Direct
0.500 0.000 0.000
0.000 0.500 0.000
0.000 0.000 0.000
0.500 0.500 0.500
0.000 0.000 0.500